Below is an optimized crystal structure of Cs2PrNpS4, with properties calculated at the PBE level.

The value obtained for the spin magnetization is 4.00 μB/cell. As for the density of states at the Fermi level: 8.1 states/eV/cell. As for the raw total energy: -6.055 eV/atom. Its crystal system is monoclinic.

The structure belongs to space group P2/m (No. 10); the cell edges are 7.3277, 4.2230 and 8.4422 Å and the angles 90.00°, 106.83° and 90.00°. The inequivalent atoms are Cs at (0.0000, 0.0000, 0.0000), Cs at (0.5000, 0.5000, 0.0000), Pr at (0.0000, 0.5000, 0.5000), Np at (0.5000, 0.0000, 0.5000), S at (0.2353, 0.0000, 0.6869) and S at (0.2811, 0.5000, 0.3186).